DFT (PBE-GGA) results for a geometry-optimized TbNdSm2Er2 structure.

Cell: 6.582 17.972 3.406 Å, 90.00 90.00 90.00°
Space group Pnnm (No. 58)
One atom of each set of equivalent atoms:
Tb 0.000 0.000 0.000 x2
Nd 0.000 0.500 0.000 x2
Sm 0.227 0.187 0.000 x4
Er 0.227 0.353 0.500 x4

## Properties
The electronic total energy is -4.389 eV/atom. As for the theoretical density: 7.7 Mg/m³. Its formation energy is 0.271 eV/atom. The calculation puts the density of states at the Fermi level at 1.614 states/eV/atom.

DFT (PBE-GGA) results for a geometry-optimized SmGaBi structure.

Cell: 16.282 5.040 4.051 Å, 90.00 90.00 90.00°
Space group Pnma (No. 62)
One atom of each set of equivalent atoms:
Sm 0.161 0.250 0.250 x4
Ga 0.158 0.750 0.749 x4
Bi 0.006 0.750 0.250 x4

## Properties
Its energy above the most stable polymorph in this dataset is 0.170 eV/atom. The electronic total energy is -4.231 eV/atom. As for the theoretical density: 8.6 Mg/m³. Its formation energy is -0.355 eV/atom. The calculation puts the density of states at the Fermi level at 0.662 states/eV/atom.

DFT (PBE-GGA) results for a geometry-optimized Co2HRhW structure.

Cell: 3.714 3.714 3.855 Å, 90.00 90.00 90.00°
Space group P4/mmm (No. 123)
One atom of each set of equivalent atoms:
Co 0.000 0.500 0.000 x2
H 0.000 0.000 0.000 x1
Rh 0.500 0.500 0.500 x1
W 0.000 0.000 0.500 x1

## Properties
Its energy above the most stable polymorph in this dataset is 0.041 eV/atom. The electronic total energy is -7.540 eV/atom. As for the theoretical density: 12.7 Mg/m³. The calculation puts the density of states at the Fermi level at 0.733 states/eV/atom.

DFT (PBE-GGA) results for a geometry-optimized Ho4Mg5Fe2 structure.

Cell: 7.874 3.636 9.405 Å, 90.00 95.85 90.00°
Space group P2/m (No. 10)
One atom of each set of equivalent atoms:
Ho 0.174 0.000 0.329 x2
Ho 0.212 0.000 0.938 x2
Mg 0.164 0.500 0.638 x2
Mg 0.453 0.500 0.169 x2
Mg 0.500 0.500 0.500 x1
Fe 0.059 0.500 0.118 x2

## Properties
The electronic total energy is -3.946 eV/atom. As for the theoretical density: 5.5 Mg/m³. Its formation energy is -0.018 eV/atom. The calculation puts the density of states at the Fermi level at 0.842 states/eV/atom.

DFT (PBE-GGA) results for a geometry-optimized LiTbHoPt structure.

Cell: 7.040 7.040 7.040 Å, 90.00 90.00 90.00°
Space group F-43m (No. 216)
One atom of each set of equivalent atoms:
Li 0.000 0.000 0.000 x4
Tb 0.250 0.250 0.750 x4
Ho 0.250 0.250 0.250 x4
Pt 0.000 0.000 0.500 x4

## Properties
The electronic total energy is -4.956 eV/atom. As for the theoretical density: 10.0 Mg/m³. Its formation energy is -0.665 eV/atom. The calculation puts the density of states at the Fermi level at 0.839 states/eV/atom.

DFT (PBE-GGA) results for a geometry-optimized LiCaO2 structure.

Cell: 4.413 4.413 11.189 Å, 90.00 90.00 90.00°
Space group I-42d (No. 122)
One atom of each set of equivalent atoms:
Li 0.000 0.000 0.000 x4
Ca 0.000 0.000 0.500 x4
O 0.183 0.250 0.125 x8

## Properties
The electronic total energy is -5.284 eV/atom. As for the theoretical density: 2.4 Mg/m³. Its uncorrected formation energy is -1826.2 meV per atom. The calculation puts the density of states at the Fermi level at 0.551 states/eV/atom.